An optimized crystal structure of LaSbW, computed with PBE.

Values from the calculation:
Electronic total energy   -20.8 eV for the cell shown
Crystal system   trigonal
Energy relative to the elements, uncorrected   0.42 eV per atom
Offset from the most stable computed form   281 meV/atom

The structure in POSCAR format:
```
LaSbW
1.0
3.513 0.000 0.000
-1.756 3.042 0.000
0.000 0.000 7.050
La Sb W
1 1 1
Direct
0.000 0.000 0.000
0.667 0.333 0.399
0.333 0.667 0.664
```

***

An optimized crystal structure of Sm5RhSe4, computed with PBE.

Values from the calculation:
Electronic total energy   -60.7 eV for the cell shown
Crystal system   tetragonal
Energy relative to the elements, uncorrected   -1.58 eV per atom

The structure in POSCAR format:
```
Sm5RhSe4
1.0
-2.083 2.083 14.774
2.083 -2.083 14.774
2.083 2.083 -14.774
Sm Rh Se
5 1 4
Direct
0.000 0.000 0.000
0.204 0.204 0.000
0.407 0.407 0.000
0.593 0.593 0.000
0.796 0.796 0.000
0.500 0.500 0.000
0.103 0.103 0.000
0.305 0.305 0.000
0.695 0.695 0.000
0.897 0.897 0.000
```